{
  "formula": "PrY4Tm7",
  "functional": "PBE-GGA",
  "state": "relaxed",
  "cell": [[6.844, 1.121, 0.209], [4.250, 7.128, 1.679], [-1.763, -0.615, 8.482]],
  "species": ["Y", "Tm", "Tm", "Y", "Y", "Tm", "Tm", "Pr", "Tm", "Y", "Tm", "Tm"],
  "fractional_positions": [[0.580, 0.651, 0.319], [0.730, 0.522, 0.972], [0.055, 0.681, 0.329], [0.420, 0.349, 0.681], [0.792, 0.813, 0.666], [0.270, 0.478, 0.028], [0.287, 0.820, 0.631], [0.000, 0.000, 0.000], [0.945, 0.319, 0.671], [0.208, 0.187, 0.334], [0.713, 0.180, 0.369], [0.500, 0.000, 0.000]],
  "space_group": "P-1, No. 2",
  "rho_g_cm3": 7.353,
  "magmom_total_mub_per_fu": 0.00,
  "dos_at_fermi_per_ev_cell": 19.4,
  "polymorph_energy_kcal_per_mol_atoms": 0.00
}